Computed, not measured: a crystal of BaHg3 relaxed with PBEsol at the meta-GGA SCAN level of DFT.

Results
DFT formation energy   -0.444 eV/atom
Space group   No. 123
Raw total energy   -61.4555 eV per atom
V   28.5 Å³/atom
Crystal system   tetragonal

Cell: 4.0109 4.0109 7.0771 Å, 90.00 90.00 90.00°
Positions (direct):
1 Hg 0.5000 0.5000 0.7130
2 Hg 0.0000 0.0000 0.5000
3 Hg 0.5000 0.5000 0.2870
4 Ba 0.0000 0.0000 0.0000